[1]
{"formula": "MnVOs4", "functional": "PBE", "state": "relaxed", "lattice": [[4.061, 0.000, -1.062], [0.000, 5.141, 0.000], [0.193, 0.000, 9.034]], "species": ["Os", "Os", "Mn", "Os", "Mn", "Os", "Os", "Os", "V", "Os", "V", "Os"], "frac_coords": [[0.851, 0.246, 0.702], [0.149, 0.746, 0.298], [0.551, 0.919, 0.103], [0.307, 0.560, 0.613], [0.449, 0.419, 0.897], [0.273, 0.037, 0.546], [0.581, 0.447, 0.162], [0.727, 0.537, 0.454], [0.885, 0.725, 0.770], [0.419, 0.947, 0.838], [0.115, 0.225, 0.230], [0.693, 0.060, 0.387]]}

=====

[2]
{"formula": "MnVOs2", "functional": "PBE", "state": "relaxed", "lattice": [[3.806, 0.000, 0.000], [0.000, 3.806, 0.000], [1.903, 1.903, 8.349]], "species": ["V", "Os", "Mn", "Os", "Os", "Os", "Mn", "V"], "frac_coords": [[0.500, 0.500, 0.000], [0.875, 0.891, 0.750], [0.750, 0.250, 0.500], [0.375, 0.359, 0.750], [0.109, 0.625, 0.250], [0.641, 0.125, 0.250], [0.000, 0.000, 0.000], [0.250, 0.750, 0.500]]}

=====

[3]
{"formula": "MnV3Os", "functional": "PBE", "state": "relaxed", "lattice": [[4.204, 0.000, 0.000], [0.000, 4.204, 0.000], [0.000, 0.000, 4.204]], "species": ["V", "V", "V", "Mn", "Os"], "frac_coords": [[0.500, 0.000, 0.000], [0.000, 0.500, 0.000], [0.000, 0.000, 0.500], [0.000, 0.000, 0.000], [0.500, 0.500, 0.500]], "e_above_lowest_polymorph_ev_per_atom": 0.956}

=====

[4]
{"formula": "MnV4Os", "functional": "PBE", "state": "relaxed", "lattice": [[-3.244, -0.943, -2.469], [0.350, -4.015, 1.073], [-1.182, 1.143, 4.663]], "species": ["V", "V", "Os", "V", "V", "Mn"], "frac_coords": [[0.166, 0.500, 0.332], [0.834, 0.500, 0.668], [0.000, 0.000, 0.000], [0.665, 0.000, 0.330], [0.335, 0.000, 0.670], [0.500, 0.500, 0.000]], "e_above_lowest_polymorph_ev_per_atom": 0.000}

=====

[5]
{"formula": "MnV2Os6", "functional": "PBE", "state": "relaxed", "lattice": [[-2.042, 0.664, 4.649], [6.268, -0.448, 3.979], [3.030, 6.614, 1.548]], "species": ["Os", "V", "Os", "Os", "Os", "Os", "Os", "Mn", "Os", "Os", "Mn", "V", "V", "V", "Os", "Os", "Os", "Os"], "frac_coords": [[0.708, 0.967, 0.392], [0.594, 0.655, 0.707], [0.221, 0.004, 0.264], [0.003, 0.653, 0.337], [0.292, 0.033, 0.608], [0.497, 0.663, 0.347], [0.208, 0.392, 0.967], [0.750, 0.923, 0.077], [0.997, 0.347, 0.663], [0.279, 0.736, 0.996], [0.250, 0.077, 0.923], [0.094, 0.707, 0.655], [0.906, 0.293, 0.345], [0.406, 0.345, 0.293], [0.792, 0.608, 0.033], [0.779, 0.996, 0.736], [0.503, 0.337, 0.653], [0.721, 0.264, 0.004]]}

=====

[6]
{"formula": "MnV4Os", "functional": "PBE", "state": "relaxed", "lattice": [[3.906, 0.002, 0.000], [-0.002, 4.110, 0.186], [0.001, 0.281, 5.786]], "species": ["V", "V", "V", "Mn", "V", "Os"], "frac_coords": [[0.501, 0.022, 0.734], [0.001, 0.479, 0.265], [0.501, 0.973, 0.262], [0.001, 0.997, 0.498], [0.001, 0.516, 0.732], [0.501, 0.497, 0.998]], "e_above_lowest_polymorph_ev_per_atom": 0.642}

=====

[7]
{"formula": "MnV3Os", "functional": "PBE", "state": "relaxed", "lattice": [[2.454, 0.000, -0.338], [0.000, 4.366, 0.000], [0.452, 0.000, 12.364]], "species": ["Os", "Os", "V", "V", "V", "Mn", "V", "Mn", "V", "V"], "frac_coords": [[0.078, 0.250, 0.157], [0.922, 0.750, 0.843], [0.628, 0.750, 0.255], [0.685, 0.250, 0.370], [0.372, 0.250, 0.745], [0.222, 0.750, 0.445], [0.525, 0.750, 0.050], [0.778, 0.250, 0.555], [0.315, 0.750, 0.630], [0.475, 0.250, 0.950]], "e_above_lowest_polymorph_ev_per_atom": 0.179}

=====

[8]
{"formula": "MnOs2W", "functional": "PBE", "state": "relaxed", "lattice": [[8.957, 0.003, 0.002], [8.539, 2.703, 0.002], [8.539, 1.321, 2.358]], "species": ["W", "Os", "Mn", "Os"], "frac_coords": [[0.250, 0.250, 0.250], [0.495, 0.495, 0.495], [0.750, 0.750, 0.750], [0.005, 0.005, 0.005]], "e_above_lowest_polymorph_ev_per_atom": 0.130}

=====

[9]
{"formula": "MnOs2W", "functional": "PBE", "state": "relaxed", "lattice": [[-3.364, -1.451, -2.877], [4.024, -0.082, -2.345], [0.426, -2.620, 0.823]], "species": ["Mn", "Os", "W", "Os"], "frac_coords": [[0.000, 0.500, 0.500], [0.000, 0.000, 0.000], [0.500, 0.000, 0.500], [0.500, 0.500, 0.000]], "e_above_lowest_polymorph_ev_per_atom": 0.081}

=====

[10]
{"formula": "Mn4OsW", "functional": "PBE", "state": "relaxed", "lattice": [[4.684, 0.000, 0.000], [2.342, 4.057, 0.000], [2.342, 1.352, 3.825]], "species": ["Mn", "Mn", "Mn", "W", "Os", "Mn"], "frac_coords": [[0.624, 0.624, 0.129], [0.624, 0.624, 0.624], [0.624, 0.129, 0.624], [0.000, 0.000, 0.000], [0.250, 0.250, 0.250], [0.129, 0.624, 0.624]]}

=====

[11]
{"formula": "MnOs2W", "functional": "PBE", "state": "relaxed", "lattice": [[-3.701, 1.456, -3.222], [-3.393, -3.532, -1.488], [2.039, 2.455, 4.002]], "species": ["W", "Mn", "Os", "Os"], "frac_coords": [[0.512, 0.512, 0.000], [0.750, 0.250, 0.500], [0.984, 0.984, 0.000], [0.254, 0.754, 0.500]], "e_above_lowest_polymorph_ev_per_atom": 0.187}

=====

[12]
{"formula": "Mn2Os2W", "functional": "PBE", "state": "relaxed", "lattice": [[7.037, 0.000, 0.000], [0.000, 7.037, 0.000], [0.000, 0.000, 2.727]], "species": ["Os", "Mn", "W", "Os", "Mn", "Os", "Mn", "Os", "Mn", "W"], "frac_coords": [[0.327, 0.173, 0.500], [0.379, 0.879, 0.000], [0.000, 0.000, 0.000], [0.173, 0.673, 0.500], [0.121, 0.379, 0.000], [0.827, 0.327, 0.500], [0.879, 0.621, 0.000], [0.673, 0.827, 0.500], [0.621, 0.121, 0.000], [0.500, 0.500, 0.000]], "e_above_lowest_polymorph_ev_per_atom": 0.000}

=====

| no. | energy of formation from the pure elements (eV per atom) | spin magnetization (μB/atom) |
| --- | --- | --- |
| 1 | 0.50 | 0.31 |
| 2 | 0.68 | 0.28 |
| 3 | 0.89 | 0.00 |
| 4 | -0.30 | 0.00 |
| 5 | 0.14 | 0.13 |
| 6 | 0.34 | 0.00 |
| 7 | 0.11 | 0.01 |
| 8 | 0.16 | 0.39 |
| 9 | 0.11 | 0.45 |
| 10 | -0.05 | 0.00 |
| 11 | 0.22 | 0.71 |
| 12 | 0.14 | 0.00 |